*i*
This record from the Alexandria database describes crystalline CaScPd2 at its relaxed geometry. The functional is PBE-GGA.

Structure (POSCAR):
```
CaScPd2
1.0
-3.7113 3.7113 3.0997
3.7113 -3.7113 3.0997
3.7113 3.7113 -3.0997
Ca Sc Pd
2 2 4
direct
0.0000 0.0000 0.0000
0.7500 0.2500 0.5000
0.2500 0.7500 0.5000
0.5000 0.5000 0.0000
0.1506 0.6250 0.0256
0.3750 0.4006 0.5256
0.5994 0.1250 0.9744
0.8750 0.8494 0.4744
```

=====

*ii*
This record from the Alexandria database describes crystalline CaScPd2 at its relaxed geometry. The functional is PBE-GGA.

Structure (POSCAR):
```
CaScPd2
1.0
0.0000 3.4051 3.4051
3.4051 0.0000 3.4051
3.4051 3.4051 0.0000
Ca Sc Pd
1 1 2
direct
0.0000 0.0000 0.0000
0.5000 0.5000 0.5000
0.2500 0.2500 0.2500
0.7500 0.7500 0.7500
```

=====

Bottom line: *ii*, by a margin of 26.5 kJ/mol of atoms.